Record 1
# InB2Ir3

An optimized crystal structure of InB2Ir3 (PBE, the Alexandria database).

Structure (CIF):
```
data_InB2Ir3
_cell_length_a 5.731
_cell_length_b 2.942
_cell_length_c 9.317
_cell_angle_alpha 90.00
_cell_angle_beta 90.00
_cell_angle_gamma 90.00
_space_group_name_H-M_alt 'P m m a'
_space_group_IT_number 51
loop_
_space_group_symop_operation_xyz
'x,y,z'
'-x,-y,-z'
'-x+1/2,-y,z'
'x+1/2,y,-z'
'x+1/2,-y,-z'
'-x+1/2,y,z'
'-x,y,-z'
'x,-y,z'
loop_
_atom_site_label
_atom_site_type_symbol
_atom_site_fract_x
_atom_site_fract_y
_atom_site_fract_z
_atom_site_occupancy
In1 In 0.250 0.000 0.009 1
B1 B 0.250 0.000 0.693 1
B2 B 0.250 0.500 0.397 1
Ir1 Ir 0.000 0.000 0.500 1
Ir2 Ir 0.002 0.500 0.771 1
```

Results
* V: 157.1 Å³ per cell
* total magnetization: 0.00 μB/atom



Record 2
# In2BIr2

An optimized crystal structure of In2BIr2 (PBE, the Alexandria database).

Structure (CIF):
```
data_In2BIr2
_cell_length_a 3.072
_cell_length_b 3.072
_cell_length_c 36.974
_cell_angle_alpha 90.00
_cell_angle_beta 90.00
_cell_angle_gamma 90.00
_space_group_name_H-M_alt 'I 41/a m d'
_space_group_IT_number 141
loop_
_space_group_symop_operation_xyz
'x,y,z'
'-x,-y,-z'
'-y+1/4,x+3/4,z+1/4'
'y+1/4,-x+3/4,-z+1/4'
'-x+1/2,-y,z+1/2'
'x+1/2,y,-z+1/2'
'y+1/4,-x+1/4,z+3/4'
'-y+1/4,x+1/4,-z+3/4'
'x,-y,-z'
'-x,y,z'
'-y+1/4,-x+1/4,-z+3/4'
'y+1/4,x+1/4,z+3/4'
'-x+1/2,y,-z+1/2'
'x+1/2,-y,z+1/2'
'y+1/4,x+3/4,-z+1/4'
'-y+1/4,-x+3/4,z+1/4'
'x+1/2,y+1/2,z+1/2'
'-x+1/2,-y+1/2,-z+1/2'
'-y+3/4,x+1/4,z+3/4'
'y+3/4,-x+1/4,-z+3/4'
'-x,-y+1/2,z'
'x,y+1/2,-z'
'y+3/4,-x+3/4,z+1/4'
'-y+3/4,x+3/4,-z+1/4'
'x+1/2,-y+1/2,-z+1/2'
'-x+1/2,y+1/2,z+1/2'
'-y+3/4,-x+3/4,-z+1/4'
'y+3/4,x+3/4,z+1/4'
'-x,y+1/2,-z'
'x,-y+1/2,z'
'y+3/4,x+1/4,-z+3/4'
'-y+3/4,-x+1/4,z+3/4'
loop_
_atom_site_label
_atom_site_type_symbol
_atom_site_fract_x
_atom_site_fract_y
_atom_site_fract_z
_atom_site_occupancy
In1 In 0.000 0.250 0.037 1
B1 B 0.000 0.250 0.375 1
Ir1 Ir 0.000 0.250 0.162 1
```

Results
* V: 348.9 Å³ per cell
* total magnetization: 0.00 μB/atom



Record 3
# InBIr2

An optimized crystal structure of InBIr2 (PBE, the Alexandria database).

Structure (CIF):
```
data_InBIr2
_cell_length_a 2.834
_cell_length_b 2.834
_cell_length_c 6.836
_cell_angle_alpha 90.00
_cell_angle_beta 90.00
_cell_angle_gamma 90.00
_space_group_name_H-M_alt 'P 4/m m m'
_space_group_IT_number 123
_space_group_name_Hall '-P 4 2'
loop_
_atom_site_label
_atom_site_type_symbol
_atom_site_fract_x
_atom_site_fract_y
_atom_site_fract_z
_atom_site_occupancy
In1 In 0.000 0.000 0.000 1
B1 B 0.000 0.000 0.500 1
Ir1 Ir 0.500 0.500 0.308 1
```

Results
* V: 54.9 Å³ per cell
* total magnetization: 0.00 μB/atom



Record 4
# InBIr2

An optimized crystal structure of InBIr2 (PBE, the Alexandria database).

Structure (CIF):
```
data_InBIr2
_cell_length_a 6.109
_cell_length_b 6.109
_cell_length_c 6.109
_cell_angle_alpha 90.00
_cell_angle_beta 90.00
_cell_angle_gamma 90.00
_space_group_name_H-M_alt 'F m -3 m'
_space_group_IT_number 225
_space_group_name_Hall '-F 4 2 3'
loop_
_atom_site_label
_atom_site_type_symbol
_atom_site_fract_x
_atom_site_fract_y
_atom_site_fract_z
_atom_site_occupancy
In1 In 0.000 0.000 0.000 1
B1 B 0.000 0.000 0.500 1
Ir1 Ir 0.250 0.250 0.250 1
```

Results
* V: 228.0 Å³ per cell
* total magnetization: 0.00 μB/atom



Number 1: ΔE_f -0.164 eV per atom. Number 2: ΔE_f 0.144 eV per atom. Number 3: ΔE_f 0.106 eV per atom. Number 4: ΔE_f 0.625 eV per atom.